[1]
First-principles (GGA-PBE) data for a relaxed structure of Li3FeSe, as listed in the Alexandria database.

Unit cell a=4.804 b=4.804 c=4.804 alpha=90.00 beta=90.00 gamma=90.00
Space group Pm-3m (No. 221)
Asymmetric unit:
Li: 0.000 0.000 0.500
Fe: 0.500 0.500 0.500
Se: 0.000 0.000 0.000

Values from the calculation:
energy above the most stable polymorph in this dataset = 0 kJ/mol of formula units
formation energy (no corrections) = 0.001 eV/atom

***

[2]
First-principles (GGA-PBE) data for a relaxed structure of LiFe2Se2, as listed in the Alexandria database.

Unit cell a=3.787 b=3.787 c=11.718 alpha=90.00 beta=90.00 gamma=90.00
Space group I4/mmm (No. 139)
Asymmetric unit:
Li: 0.000 0.000 0.000
Fe: 0.000 0.500 0.250
Se: 0.000 0.000 0.362

Values from the calculation:
formation energy (no corrections) = -0.324 eV/atom

***

[3]
First-principles (GGA-PBE) data for a relaxed structure of Sr2LiFeSe, as listed in the Alexandria database.

Unit cell a=5.575 b=5.575 c=4.530 alpha=90.00 beta=90.00 gamma=90.00
Space group P4/mmm (No. 123)
Asymmetric unit:
Sr: 0.000 0.500 0.000
Li: 0.000 0.000 0.500
Fe: 0.000 0.000 0.000
Se: 0.500 0.500 0.500

Values from the calculation:
formation energy (no corrections) = 0.039 eV/atom

***

[4]
First-principles (GGA-PBE) data for a relaxed structure of LiFe2TeSe, as listed in the Alexandria database.

Unit cell a=4.454 b=4.454 c=6.033 alpha=90.00 beta=90.00 gamma=90.00
Space group P4/mmm (No. 123)
Asymmetric unit:
Li: 0.000 0.000 0.000
Fe: 0.000 0.500 0.500
Te: 0.500 0.500 0.000
Se: 0.500 0.500 0.500

Values from the calculation:
energy above the most stable polymorph in this dataset = 0 kJ/mol of formula units
formation energy (no corrections) = 0.468 eV/atom

***

[5]
First-principles (GGA-PBE) data for a relaxed structure of LiFe2TeSe, as listed in the Alexandria database.

Unit cell a=4.681 b=4.681 c=4.144 alpha=90.00 beta=90.00 gamma=90.00
Space group P4/mmm (No. 123)
Asymmetric unit:
Li: 0.000 0.000 0.000
Fe: 0.000 0.500 0.000
Te: 0.500 0.500 0.500
Se: 0.000 0.000 0.500

Values from the calculation:
energy above the most stable polymorph in this dataset = 138 kJ/mol of formula units
formation energy (no corrections) = 0.754 eV/atom

***

[6]
First-principles (GGA-PBE) data for a relaxed structure of LiTiFe2Se, as listed in the Alexandria database.

Unit cell a=4.305 b=4.305 c=5.012 alpha=90.00 beta=90.00 gamma=90.00
Space group P4/mmm (No. 123)
Asymmetric unit:
Li: 0.000 0.000 0.000
Ti: 0.000 0.000 0.500
Fe: 0.000 0.500 0.500
Se: 0.500 0.500 0.000

Values from the calculation:
formation energy (no corrections) = 0.939 eV/atom